VASP calculation (GGA-PBE) on crystalline Ho2NbCl at its relaxed geometry.

Results
- Total moment: 0.96 μB/f.u.
- Formation energy (no corrections): -6.7 kJ per mole of atoms
- E: -5.337 eV/atom

Lattice parameters (Å, degrees): 3.2317 3.2317 31.3088 90.00 90.00 120.00
Closest atoms and distances in Å follow each position.
Space group R-3m (No. 166, hexagonal axes)
Unique sites:
Ho (0.0000, 0.0000, 0.0943) [6 per cell]  3 Cl 2.94, 1 Nb 2.95, 6 Ho 3.23
Nb (0.0000, 0.0000, 0.0000) [3 per cell]  2 Ho 2.95, 6 Nb 3.23
Cl (0.0000, 0.0000, 0.5000) [3 per cell]  6 Ho 2.94, 6 Cl 3.23

---

VASP calculation (GGA-PBE) on crystalline LaPa2TlO8 at its relaxed geometry.

Results
- Total moment: 0.00 μB/f.u.
- Formation energy (no corrections): -248.8 kJ per mole of atoms
- E: -8.075 eV/atom

Lattice parameters (Å, degrees): 6.6093 6.6093 6.5611 90.00 90.00 120.00
Closest atoms and distances in Å follow each position.
Space group P-3m1 (No. 164)
Unique sites:
La (0.0000, 0.0000, 0.0000) [1 per cell]  6 O 2.47
Pa (0.3333, 0.6667, 0.2258) [2 per cell]  4 O 1.92-2.11
Tl (0.0000, 0.0000, 0.5000) [1 per cell]  6 O 2.29
O (0.1505, 0.3011, 0.2695) [6 per cell]  1 Pa 2.11, 1 Tl 2.29
O (0.3333, 0.6667, 0.9329) [2 per cell]  1 Pa 1.92

---

VASP calculation (GGA-PBE) on crystalline CaY2Mg at its relaxed geometry.

Results
- Total moment: 0.00 μB/f.u.
- Formation enthalpy at 0 K: 0.0985 eV/atom
- E: -4.033 eV/atom

Lattice parameters (Å, degrees): 7.9581 7.9581 7.9581 90.00 90.00 90.00
Closest atoms and distances in Å follow each position.
Space group F-43m (No. 216)
Unique sites:
Ca (0.0000, 0.0000, 0.0000) [4 per cell]  4 Mg 3.45, 4 Y 3.45
Y (0.0000, 0.0000, 0.5000) [4 per cell]  4 Mg 3.45, 4 Y 3.45
Y (0.2500, 0.2500, 0.7500) [4 per cell]  4 Ca 3.45, 4 Y 3.45
Mg (0.2500, 0.2500, 0.2500) [4 per cell]  4 Ca 3.45, 4 Y 3.45

---

VASP calculation (GGA-PBE) on crystalline ZnSb2WI at its relaxed geometry.

Results
- Total moment: 3.26 μB/f.u.
- Formation energy (no corrections): 142.4 kJ per mole of atoms
- E above lowest polymorph: 3.90 eV/f.u.
- E: -3.328 eV/atom

Lattice parameters (Å, degrees): 5.0950 5.0950 5.5003 90.00 90.00 90.00
Closest atoms and distances in Å follow each position.
Space group P4/mmm (No. 123)
Unique sites:
Zn (0.0000, 0.0000, 0.0000) [1 per cell]  4 Sb 2.55, 2 I 2.75
Sb (0.0000, 0.5000, 0.0000) [2 per cell]  2 Zn 2.55
W (0.5000, 0.5000, 0.5000) [1 per cell]  4 I 3.60, 8 Sb 3.75
I (0.0000, 0.0000, 0.5000) [1 per cell]  2 Zn 2.75

---

VASP calculation (GGA-PBE) on crystalline Ce5HgRu at its relaxed geometry.

Results
- Total moment: 0.73 μB/f.u.
- Formation enthalpy at 0 K: 0.2473 eV/atom
- E: -5.359 eV/atom

Lattice parameters (Å, degrees): 6.3348 7.3194 7.9987 90.00 90.00 90.00
Closest atoms and distances in Å follow each position.
Space group Imm2 (No. 44)
Unique sites:
Ce (0.0000, 0.0000, 0.0000) [2 per cell]  2 Ce 2.65
Ce (0.0000, 0.2920, 0.6421) [4 per cell]  1 Ru 2.46
Ce (0.2202, 0.5000, 0.2536) [4 per cell]  4 Ce 2.65-2.92
Hg (0.0000, 0.0000, 0.3726) [2 per cell]  3 Ce 2.98-3.04, 2 Ru 3.17
Ru (0.0000, 0.5000, 0.8839) [2 per cell]  2 Ce 2.46

---

VASP calculation (GGA-PBE) on crystalline CsZnBiSe3 at its relaxed geometry.

Results
- Total moment: 0.00 μB/f.u.
- Formation energy (no corrections): -74.6 kJ per mole of atoms
- E: -3.517 eV/atom

Lattice parameters (Å, degrees): 10.0105 4.2577 10.2823 90.00 109.65 90.00
Closest atoms and distances in Å follow each position.
Space group P2_1/m (No. 11)
Unique sites:
Cs (0.1996, 0.2500, 0.2394) [2 per cell]  7 Se 3.68-3.77
Zn (0.0838, 0.2500, 0.6082) [2 per cell]  4 Se 2.47-2.56
Bi (0.3377, 0.7500, 0.8661) [2 per cell]  5 Se 2.79-3.00
Se (0.1302, 0.2500, 0.8600) [2 per cell]  1 Zn 2.47
Se (0.1807, 0.7500, 0.5330) [2 per cell]  3 Zn 2.56
Se (0.4588, 0.7500, 0.1537) [2 per cell]  3 Bi 2.79-3.00

---

VASP calculation (GGA-PBE) on crystalline BeNi2 at its relaxed geometry.

Results
- Total moment: 0.00 μB/f.u.
- Formation enthalpy at 0 K: -0.1613 eV/atom
- E: -5.258 eV/atom

Lattice parameters (Å, degrees): 2.4772 2.4772 19.4978 90.00 90.00 90.00
Closest atoms and distances in Å follow each position.
Space group I4_1/amd (No. 141, origin choice 2)
Unique sites:
Be (0.0000, 0.2500, 0.3750) [4 per cell]  8 Ni 2.24, 4 Be 2.48
Ni (0.0000, 0.2500, 0.8037) [8 per cell]  4 Be 2.24, 6 Ni 2.43-2.48

---

VASP calculation (GGA-PBE) on crystalline BaAs2W at its relaxed geometry.

Results
- Total moment: 1.60 μB/f.u.
- E above lowest polymorph: 2.51 eV/f.u.
- Formation enthalpy at 0 K: 0.3892 eV/atom
- E: -5.655 eV/atom

Lattice parameters (Å, degrees): 7.0721 7.0721 7.0721 90.00 90.00 90.00
Closest atoms and distances in Å follow each position.
Space group Fm-3m (No. 225)
Unique sites:
Ba (0.0000, 0.0000, 0.0000) [4 per cell]  8 As 3.06
As (0.2500, 0.2500, 0.2500) [8 per cell]  4 Ba 3.06, 4 W 3.06
W (0.0000, 0.0000, 0.5000) [4 per cell]  8 As 3.06

---

> Which formula does entry 1 have?

Ho2NbCl